No. 1
# PBE Li2LaSe, optimized geometry
# total magnetic moment: 0.00 μB per formula unit
# volume: 22.24 A^3/atom
# total energy: -3.679 eV/atom
# DOS(E_F): 0.61 states/eV/atom
data_Li2LaSe
_symmetry_space_group_name_H-M 'P 1'
_symmetry_Int_Tables_number 1
_cell_length_a 3.770
_cell_length_b 3.770
_cell_length_c 6.260
_cell_angle_alpha 90.00
_cell_angle_beta 90.00
_cell_angle_gamma 90.02
loop_
_symmetry_equiv_pos_as_xyz
'x,y,z'
loop_
_atom_site_label
_atom_site_type_symbol
_atom_site_fract_x
_atom_site_fract_y
_atom_site_fract_z
Li1 Li 0.000 0.000 0.435
Li2 Li 0.000 0.000 0.065
Se1 Se 0.500 0.500 0.250
La1 La 0.500 0.500 0.750



No. 2
# PBE RbSc2Cd2, optimized geometry
# total magnetic moment: 0.88 μB per formula unit
# calculated formation energy: 0.07 eV/atom
# offset from the most stable computed form: 0.00 kJ/mol of atoms
# volume: 27.59 A^3/atom
# total energy: -3.022 eV/atom
# DOS(E_F): 1.43 states/eV/atom
data_RbSc2Cd2
_symmetry_space_group_name_H-M 'P 1'
_symmetry_Int_Tables_number 1
_cell_length_a 9.226
_cell_length_b 9.226
_cell_length_c 3.242
_cell_angle_alpha 90.00
_cell_angle_beta 90.00
_cell_angle_gamma 90.00
loop_
_symmetry_equiv_pos_as_xyz
'x,y,z'
loop_
_atom_site_label
_atom_site_type_symbol
_atom_site_fract_x
_atom_site_fract_y
_atom_site_fract_z
Rb1 Rb 0.000 0.000 0.000
Rb2 Rb 0.500 0.500 0.000
Sc1 Sc 0.619 0.119 0.000
Sc2 Sc 0.881 0.619 0.000
Sc3 Sc 0.381 0.881 0.000
Sc4 Sc 0.119 0.381 0.000
Cd1 Cd 0.828 0.328 0.500
Cd2 Cd 0.672 0.828 0.500
Cd3 Cd 0.328 0.172 0.500
Cd4 Cd 0.172 0.672 0.500



No. 3
# PBE Sm2BPt5, optimized geometry
# total magnetic moment: 0.00 μB per formula unit
# calculated formation energy: -0.92 eV/atom
# volume: 19.22 A^3/atom
# total energy: -6.714 eV/atom
# DOS(E_F): 0.21 states/eV/atom
data_Sm2BPt5
_symmetry_space_group_name_H-M 'P 1'
_symmetry_Int_Tables_number 1
_cell_length_a 5.779
_cell_length_b 5.779
_cell_length_c 6.155
_cell_angle_alpha 118.01
_cell_angle_beta 117.96
_cell_angle_gamma 90.00
loop_
_symmetry_equiv_pos_as_xyz
'x,y,z'
loop_
_atom_site_label
_atom_site_type_symbol
_atom_site_fract_x
_atom_site_fract_y
_atom_site_fract_z
Pt1 Pt 0.268 0.268 0.031
Pt2 Pt 0.725 0.725 0.450
Pt3 Pt 0.268 0.763 0.031
Pt4 Pt 0.763 0.763 0.031
Pt5 Pt 0.763 0.268 0.031
Sm1 Sm 0.267 0.767 0.534
Sm2 Sm 0.767 0.267 0.534
B1 B 0.956 0.956 0.912



No. 4
# PBE LaRuS3, optimized geometry
# total magnetic moment: 5.00 μB per formula unit
# offset from the most stable computed form: 138.00 kJ/mol of atoms
# volume: 31.91 A^3/atom
# total energy: -4.755 eV/atom
# DOS(E_F): 1.52 states/eV/atom
data_LaRuS3
_symmetry_space_group_name_H-M 'P 1'
_symmetry_Int_Tables_number 1
_cell_length_a 5.424
_cell_length_b 5.424
_cell_length_c 5.424
_cell_angle_alpha 90.00
_cell_angle_beta 90.00
_cell_angle_gamma 90.00
loop_
_symmetry_equiv_pos_as_xyz
'x,y,z'
loop_
_atom_site_label
_atom_site_type_symbol
_atom_site_fract_x
_atom_site_fract_y
_atom_site_fract_z
S1 S 0.000 0.000 0.500
S2 S 0.000 0.500 0.000
S3 S 0.500 0.000 0.000
La1 La 0.000 0.000 0.000
Ru1 Ru 0.500 0.500 0.500



No. 5
# PBE SrCdAg2, optimized geometry
# total magnetic moment: 0.00 μB per formula unit
# calculated formation energy: -0.22 eV/atom
# volume: 26.38 A^3/atom
# total energy: -2.298 eV/atom
# DOS(E_F): 0.36 states/eV/atom
data_SrCdAg2
_symmetry_space_group_name_H-M 'P 1'
_symmetry_Int_Tables_number 1
_cell_length_a 4.788
_cell_length_b 4.226
_cell_length_c 10.639
_cell_angle_alpha 101.46
_cell_angle_beta 90.00
_cell_angle_gamma 90.00
loop_
_symmetry_equiv_pos_as_xyz
'x,y,z'
loop_
_atom_site_label
_atom_site_type_symbol
_atom_site_fract_x
_atom_site_fract_y
_atom_site_fract_z
Ag1 Ag 0.250 0.258 0.517
Ag2 Ag 0.250 0.534 0.069
Ag3 Ag 0.750 0.466 0.931
Ag4 Ag 0.750 0.742 0.483
Cd1 Cd 0.250 0.668 0.337
Cd2 Cd 0.750 0.332 0.663
Sr1 Sr 0.250 0.902 0.803
Sr2 Sr 0.750 0.098 0.197



No. 6
# PBE Cs3Tm2PaSe6, optimized geometry
# total magnetic moment: 1.65 μB per formula unit
# volume: 32.54 A^3/atom
# total energy: -5.037 eV/atom
# DOS(E_F): 0.58 states/eV/atom
data_Cs3Tm2PaSe6
_symmetry_space_group_name_H-M 'P 1'
_symmetry_Int_Tables_number 1
_cell_length_a 7.325
_cell_length_b 7.325
_cell_length_c 8.751
_cell_angle_alpha 98.02
_cell_angle_beta 98.02
_cell_angle_gamma 119.99
loop_
_symmetry_equiv_pos_as_xyz
'x,y,z'
loop_
_atom_site_label
_atom_site_type_symbol
_atom_site_fract_x
_atom_site_fract_y
_atom_site_fract_z
Tm1 Tm 0.333 0.667 0.000
Tm2 Tm 0.667 0.333 0.000
Cs1 Cs 0.500 0.500 0.500
Cs2 Cs 0.167 0.833 0.500
Cs3 Cs 0.833 0.167 0.500
Se1 Se 0.275 0.275 0.815
Se2 Se 0.938 0.602 0.815
Se3 Se 0.725 0.725 0.185
Se4 Se 0.062 0.398 0.185
Se5 Se 0.602 0.938 0.815
Se6 Se 0.398 0.062 0.185
Pa1 Pa 0.000 0.000 0.000



No. 7
# PBE ErTi4Ru5, optimized geometry
# total magnetic moment: 0.00 μB per formula unit
# calculated formation energy: -0.68 eV/atom
# volume: 15.52 A^3/atom
# total energy: -8.932 eV/atom
# DOS(E_F): 0.27 states/eV/atom
data_ErTi4Ru5
_symmetry_space_group_name_H-M 'P 1'
_symmetry_Int_Tables_number 1
_cell_length_a 3.122
_cell_length_b 3.122
_cell_length_c 15.919
_cell_angle_alpha 90.00
_cell_angle_beta 90.00
_cell_angle_gamma 90.00
loop_
_symmetry_equiv_pos_as_xyz
'x,y,z'
loop_
_atom_site_label
_atom_site_type_symbol
_atom_site_fract_x
_atom_site_fract_y
_atom_site_fract_z
Ru1 Ru 0.500 0.500 0.880
Ru2 Ru 0.500 0.500 0.120
Ru3 Ru 0.500 0.500 0.500
Ru4 Ru 0.500 0.500 0.309
Ru5 Ru 0.500 0.500 0.691
Ti1 Ti 0.000 0.000 0.792
Ti2 Ti 0.000 0.000 0.597
Ti3 Ti 0.000 0.000 0.403
Ti4 Ti 0.000 0.000 0.208
Er1 Er 0.000 0.000 0.000



No. 8
# PBE Y2TmRh4, optimized geometry
# total magnetic moment: 0.00 μB per formula unit
# calculated formation energy: -0.53 eV/atom
# volume: 20.53 A^3/atom
# total energy: -7.213 eV/atom
# DOS(E_F): 0.43 states/eV/atom
data_Y2TmRh4
_symmetry_space_group_name_H-M 'P 1'
_symmetry_Int_Tables_number 1
_cell_length_a 4.835
_cell_length_b 4.835
_cell_length_c 7.034
_cell_angle_alpha 110.10
_cell_angle_beta 110.10
_cell_angle_gamma 90.00
loop_
_symmetry_equiv_pos_as_xyz
'x,y,z'
loop_
_atom_site_label
_atom_site_type_symbol
_atom_site_fract_x
_atom_site_fract_y
_atom_site_fract_z
Y1 Y 0.276 0.276 0.552
Y2 Y 0.724 0.724 0.448
Tm1 Tm 0.000 0.000 0.000
Rh1 Rh 0.381 0.881 0.762
Rh2 Rh 0.619 0.119 0.238
Rh3 Rh 0.119 0.619 0.238
Rh4 Rh 0.881 0.381 0.762



No. 9
# PBE Zr2TaPt2, optimized geometry
# total magnetic moment: 0.00 μB per formula unit
# calculated formation energy: -0.65 eV/atom
# offset from the most stable computed form: 0.00 kJ/mol of atoms
# volume: 19.33 A^3/atom
# total energy: -8.856 eV/atom
# DOS(E_F): 0.98 states/eV/atom
data_Zr2TaPt2
_symmetry_space_group_name_H-M 'P 1'
_symmetry_Int_Tables_number 1
_cell_length_a 7.518
_cell_length_b 7.518
_cell_length_c 3.419
_cell_angle_alpha 90.00
_cell_angle_beta 90.00
_cell_angle_gamma 90.00
loop_
_symmetry_equiv_pos_as_xyz
'x,y,z'
loop_
_atom_site_label
_atom_site_type_symbol
_atom_site_fract_x
_atom_site_fract_y
_atom_site_fract_z
Pt1 Pt 0.131 0.369 0.000
Pt2 Pt 0.369 0.869 0.000
Pt3 Pt 0.631 0.131 0.000
Pt4 Pt 0.869 0.631 0.000
Zr1 Zr 0.830 0.330 0.500
Zr2 Zr 0.330 0.170 0.500
Zr3 Zr 0.670 0.830 0.500
Zr4 Zr 0.170 0.670 0.500
Ta1 Ta 0.000 0.000 0.000
Ta2 Ta 0.500 0.500 0.000



No. 10
# PBE TcWIN2, optimized geometry
# total magnetic moment: 3.43 μB per formula unit
# offset from the most stable computed form: 0.00 kJ/mol of atoms
# volume: 18.10 A^3/atom
# total energy: -7.167 eV/atom
# DOS(E_F): 0.75 states/eV/atom
data_TcWIN2
_symmetry_space_group_name_H-M 'P 1'
_symmetry_Int_Tables_number 1
_cell_length_a 3.954
_cell_length_b 3.954
_cell_length_c 5.788
_cell_angle_alpha 90.00
_cell_angle_beta 90.00
_cell_angle_gamma 90.00
loop_
_symmetry_equiv_pos_as_xyz
'x,y,z'
loop_
_atom_site_label
_atom_site_type_symbol
_atom_site_fract_x
_atom_site_fract_y
_atom_site_fract_z
N1 N 0.500 0.000 0.000
N2 N 0.000 0.500 0.000
I1 I 0.000 0.000 0.500
W1 W 0.000 0.000 0.000
Tc1 Tc 0.500 0.500 0.500